Record 1
A geometry-optimized AlFeCu2 structure, computed with PBEsol.

Computed properties:
As for the uncorrected energy: -5.48 eV per atom. The value obtained for the calculated density is 7.338 Mg/m³. For the energy of formation from the pure elements, the calculation gives -0.2 eV/f.u.

Lattice parameters (Å, degrees): 2.593 4.353 4.491 101.24 106.78 90.00
Fractional coordinates of all 4 atoms:
Cu (0.749, 0.744, 0.499)
Fe (0.000, 0.500, 0.000)
Al (0.500, 0.000, 0.000)
Cu (0.251, 0.256, 0.501)

Record 2
A geometry-optimized SrLi2Pd structure, computed with PBEsol.

Computed properties:
As for the uncorrected energy: -3.05 eV per atom. The value obtained for the calculated density is 3.758 Mg/m³. For the energy of formation from the pure elements, the calculation gives -0.5 eV/f.u.

Lattice parameters (Å, degrees): 4.264 4.264 10.548 101.66 101.66 90.00
Fractional coordinates of all 8 atoms:
Li (0.960, 0.375, 0.250)
Sr (0.500, 0.500, 0.000)
Li (0.290, 0.875, 0.250)
Sr (0.750, 0.250, 0.500)
Pd (0.000, 0.000, 0.000)
Li (0.125, 0.040, 0.750)
Li (0.625, 0.710, 0.750)
Pd (0.250, 0.750, 0.500)

Record 3
A geometry-optimized SrCdIO2 structure, computed with PBEsol.

Computed properties:
Its energy relative to the elements, uncorrected is -0.75 eV/atom. As for the uncorrected energy: -3.81 eV per atom. The value obtained for the calculated density is 5.424 Mg/m³.

Lattice parameters (Å, degrees): 4.441 4.441 5.572 90.00 90.00 90.00
Fractional coordinates of all 5 atoms:
I (0.000, 0.000, 0.500)
Cd (0.000, 0.000, 0.000)
O (0.000, 0.500, 0.000)
Sr (0.500, 0.500, 0.500)
O (0.500, 0.000, 0.000)

Record 4
A geometry-optimized CaSn2F6 structure, computed with PBEsol.

Computed properties:
Its energy relative to the elements, uncorrected is -2.83 eV/atom. As for the uncorrected energy: -5.29 eV per atom. The value obtained for the calculated density is 4.476 Mg/m³.

Lattice parameters (Å, degrees): 4.352 7.175 9.636 99.53 100.91 92.64
Fractional coordinates of all 18 atoms:
Ca (0.602, 0.744, 0.949)
Ca (0.398, 0.256, 0.051)
Sn (0.977, 0.732, 0.629)
F (0.060, 0.733, 0.855)
F (0.623, 0.040, 0.890)
F (0.111, 0.204, 0.813)
F (0.377, 0.960, 0.110)
F (0.644, 0.421, 0.895)
F (0.524, 0.313, 0.310)
F (0.889, 0.796, 0.187)
Sn (0.370, 0.798, 0.279)
F (0.940, 0.267, 0.145)
Sn (0.630, 0.202, 0.721)
F (0.092, 0.562, 0.391)
F (0.356, 0.579, 0.105)
F (0.476, 0.687, 0.690)
Sn (0.023, 0.268, 0.371)
F (0.908, 0.438, 0.609)

uncorrected energy of number 1 (AlFeCu2)? -5.48 eV per atom